[1]
## MnOsI2N (PBE-GGA)

Data for a relaxed MnOsI2N crystal.

Summary:
density of states at the Fermi level: 3.19 states/eV per cell
energy relative to the elements, uncorrected: 3.29 eV/f.u.
V: 116.9 Å³ per cell
calculated density: 7.3 g/cm3

Unit cell a=5.5898 b=5.5898 c=3.7398 alpha=90.00 beta=90.00 gamma=90.00
Fractional coordinates of all 5 atoms:
1 I 0.0000 0.5000 0.0000
2 I 0.5000 0.0000 0.0000
3 Mn 0.5000 0.5000 0.5000
4 Os 0.0000 0.0000 0.0000
5 N 0.0000 0.0000 0.5000

[2]
## MnOsI2N (PBE-GGA)

Data for a relaxed MnOsI2N crystal.

Summary:
density of states at the Fermi level: 5.52 states/eV per cell
energy relative to the elements, uncorrected: 5.87 eV/f.u.
V: 93.0 Å³ per cell
calculated density: 9.2 g/cm3

Unit cell a=5.2110 b=5.2110 c=3.4259 alpha=90.00 beta=90.00 gamma=90.00
Fractional coordinates of all 5 atoms:
1 I 0.0000 0.5000 0.0000
2 I 0.5000 0.0000 0.0000
3 Mn 0.0000 0.0000 0.0000
4 Os 0.5000 0.5000 0.5000
5 N 0.0000 0.0000 0.5000

[3]
## MnOsIN2 (PBE-GGA)

Data for a relaxed MnOsIN2 crystal.

Summary:
density of states at the Fermi level: 4.28 states/eV per cell
energy relative to the elements, uncorrected: 4.60 eV/f.u.
V: 89.7 Å³ per cell
calculated density: 7.4 g/cm3

Unit cell a=3.8500 b=3.8500 c=6.0496 alpha=90.00 beta=90.00 gamma=90.00
Fractional coordinates of all 5 atoms:
1 I 0.0000 0.0000 0.5000
2 Mn 0.5000 0.5000 0.5000
3 Os 0.0000 0.0000 0.0000
4 N 0.0000 0.5000 0.0000
5 N 0.5000 0.0000 0.0000

[4]
## MnPIN2 (PBE-GGA)

Data for a relaxed MnPIN2 crystal.

Summary:
density of states at the Fermi level: 2.63 states/eV per cell
energy relative to the elements, uncorrected: 5.75 eV/f.u.
V: 88.4 Å³ per cell
calculated density: 4.5 g/cm3

Unit cell a=3.5966 b=3.5966 c=6.8312 alpha=90.00 beta=90.00 gamma=90.00
Fractional coordinates of all 5 atoms:
1 I 0.0000 0.0000 0.5000
2 P 0.0000 0.0000 0.0000
3 Mn 0.5000 0.5000 0.5000
4 N 0.0000 0.5000 0.0000
5 N 0.5000 0.0000 0.0000